1.
Below is a geometry-optimized TaBe2Fe structure, with properties calculated at the GGA-PBE level.

a = 2.656 Å, b = 2.656 Å, c = 6.550 Å
α = 90.00°, β = 90.00°, γ = 90.03°
Site moments in Bohr magnetons follow the coordinates.
Fractional coordinates of all 4 atoms:
Be  0.000  0.000  0.054  0.01
Be  0.500  0.500  0.227  -0.04
Fe  0.000  0.000  0.445  2.12
Ta  0.500  0.500  0.774  -0.02

Values from the calculation:
Calculated volume (Å³/cell): 46
Offset from the most stable computed form (meV per atom): 106
ρ (kg/m3): 9160
Final energy (eV/atom): -6.923


2.
Below is a geometry-optimized YCoGe2 structure, with properties calculated at the GGA-PBE level.

a = 4.651 Å, b = 4.651 Å, c = 8.449 Å
α = 74.02°, β = 74.02°, γ = 90.00°
Fractional coordinates of all 8 atoms:
Y  0.000  0.000  0.000
Y  0.750  0.250  0.500
Ge  0.471  0.125  0.250
Ge  0.279  0.625  0.250
Ge  0.375  0.529  0.750
Ge  0.875  0.721  0.750
Co  0.500  0.500  0.000
Co  0.250  0.750  0.500

Values from the calculation:
Calculated volume (Å³/cell): 168
ρ (kg/m3): 5783
Final energy (eV/atom): -5.912


3.
Below is a geometry-optimized CsAsH2 structure, with properties calculated at the GGA-PBE level.

a = 6.359 Å, b = 4.836 Å, c = 4.413 Å
α = 87.99°, β = 90.00°, γ = 131.11°
Fractional coordinates of all 4 atoms:
Cs  0.426  0.851  0.845
As  0.995  0.990  0.340
H  0.783  0.566  0.329
H  0.981  0.963  0.693

Values from the calculation:
Calculated volume (Å³/cell): 102
Offset from the most stable computed form (meV per atom): 20
ρ (kg/m3): 3412
Final energy (eV/atom): -3.285


- Look up the final energy of the first one.
  -6.923 eV/atom


- What is the formula in the second record?
  YCoGe2